First-principles (GGA-PBEsol) data for a relaxed FeHgRhAu2 crystal, as listed in Alexandria.

Unit cell a=4.7124 b=4.7124 c=4.4325 alpha=90.00 beta=90.00 gamma=90.00
Closest atoms and distances in Å follow each position.
Space group P4/mmm (No. 123)
Unique sites:
Fe 0.0000 0.0000 0.0000  2 Rh 2.22, 4 Au 2.36
Hg 0.5000 0.5000 0.5000  8 Au 3.23, 4 Rh 3.33
Rh 0.0000 0.0000 0.5000  2 Fe 2.22
Au 0.0000 0.5000 0.0000  2 Fe 2.36

Results
**Magnetization**: 3.27 μB/f.u.
**Fermi-level density of states**: 5.292 states/eV per cell
**DFT formation energy**: 0.9004 eV/atom
**Crystal system**: tetragonal